Entry i
The following is a GGA-PBE calculation of a relaxed structure of YThSn2, from Alexandria via LeMat-Bulk.

Cell lengths 4.4686, 4.4964, 11.6326 Å; angles 90.00, 90.00, 90.00 degrees
Closest atoms and distances in Å follow each position.
Fractional positions:
Y (0.0000, 0.0000, 0.0000)  7 Sn 3.14-3.49
Y (0.0000, 0.5000, 0.5000)  7 Sn 3.14-3.49
Th (0.5000, 0.0000, 0.2705)  7 Sn 3.17-3.47
Th (0.5000, 0.5000, 0.7705)  7 Sn 3.17-3.47
Sn (0.0000, 0.0000, 0.7298)  2 Sn 3.12, 1 Y 3.14, 4 Th 3.20
Sn (0.0000, 0.5000, 0.2298)  2 Sn 3.12, 1 Y 3.14, 4 Th 3.20
Sn (0.5000, 0.0000, 0.5428)  2 Sn 3.12, 3 Th 3.17-3.47, 4 Y 3.21
Sn (0.5000, 0.5000, 0.0428)  2 Sn 3.12, 3 Th 3.17-3.47, 4 Y 3.21

Properties
space group = Amm2

---

Entry ii
The following is a GGA-PBE calculation of a relaxed structure of YThSn2, from Alexandria via LeMat-Bulk.

Cell lengths 3.5806, 3.5806, 30.8764 Å; angles 90.00, 90.00, 120.00 degrees
Closest atoms and distances in Å follow each position.
Fractional positions:
Y (0.0000, 0.0000, 0.0000)  6 Sn 3.23, 6 Y 3.58
Y (0.3333, 0.6667, 0.6667)  6 Sn 3.23, 6 Y 3.58
Y (0.6667, 0.3333, 0.3333)  6 Sn 3.23, 6 Y 3.58
Th (0.0000, 0.0000, 0.5000)  6 Sn 3.37, 6 Th 3.58
Th (0.3333, 0.6667, 0.1667)  6 Sn 3.37, 6 Th 3.58
Th (0.6667, 0.3333, 0.8333)  6 Sn 3.37, 6 Th 3.58
Sn (0.0000, 0.0000, 0.2529)  3 Y 3.23, 3 Th 3.37, 6 Sn 3.58
Sn (0.0000, 0.0000, 0.7471)  3 Y 3.23, 3 Th 3.37, 6 Sn 3.58
Sn (0.3333, 0.6667, 0.4137)  3 Y 3.23, 3 Th 3.37, 6 Sn 3.58
Sn (0.3333, 0.6667, 0.9196)  3 Y 3.23, 3 Th 3.37, 6 Sn 3.58
Sn (0.6667, 0.3333, 0.0804)  3 Y 3.23, 3 Th 3.37, 6 Sn 3.58
Sn (0.6667, 0.3333, 0.5863)  3 Y 3.23, 3 Th 3.37, 6 Sn 3.58

Properties
space group = R-3m

---

Stability comparison, relative energies in meV/atom: entry i 0; entry ii 227

---

Entry i
The following is a GGA-PBE calculation of a relaxed structure of YTh2Sn, from Alexandria via LeMat-Bulk.

Cell lengths 3.5022, 3.5022, 37.0717 Å; angles 90.00, 90.00, 120.00 degrees
Closest atoms and distances in Å follow each position.
Fractional positions:
Y (0.0000, 0.0000, 0.0000)  6 Y 3.50, 6 Th 3.58
Y (0.3333, 0.6667, 0.6667)  6 Y 3.50, 6 Th 3.58
Y (0.6667, 0.3333, 0.3333)  6 Y 3.50, 6 Th 3.58
Th (0.0000, 0.0000, 0.4131)  1 Sn 3.22, 6 Th 3.50, 3 Y 3.58
Th (0.0000, 0.0000, 0.5869)  1 Sn 3.22, 6 Th 3.50, 3 Y 3.58
Th (0.3333, 0.6667, 0.0797)  1 Sn 3.22, 6 Th 3.50, 3 Y 3.58
Th (0.3333, 0.6667, 0.2536)  1 Sn 3.22, 6 Th 3.50, 3 Y 3.58
Th (0.6667, 0.3333, 0.7464)  1 Sn 3.22, 6 Th 3.50, 3 Y 3.58
Th (0.6667, 0.3333, 0.9203)  1 Sn 3.22, 6 Th 3.50, 3 Y 3.58
Sn (0.0000, 0.0000, 0.5000)  2 Th 3.22, 6 Sn 3.50
Sn (0.3333, 0.6667, 0.1667)  2 Th 3.22, 6 Sn 3.50
Sn (0.6667, 0.3333, 0.8333)  2 Th 3.22, 6 Sn 3.50

Properties
space group = R-3m

---

Entry ii
The following is a GGA-PBE calculation of a relaxed structure of YTh2Sn, from Alexandria via LeMat-Bulk.

Cell lengths 4.7902, 4.7902, 5.1124 Å; angles 90.00, 90.00, 90.00 degrees
Closest atoms and distances in Å follow each position.
Fractional positions:
Y (0.0000, 0.0000, 0.0000)  4 Sn 3.39, 8 Th 3.50
Th (0.0000, 0.5000, 0.5000)  4 Th 3.39, 4 Sn 3.50, 4 Y 3.50
Th (0.5000, 0.0000, 0.5000)  4 Th 3.39, 4 Sn 3.50, 4 Y 3.50
Sn (0.5000, 0.5000, 0.0000)  4 Y 3.39, 8 Th 3.50

Properties
space group = P4/mmm

---

Stability comparison, relative energies in meV/atom: entry i 510; entry ii 0

---

Entry i
The following is a GGA-PBE calculation of a relaxed structure of Y2ThSn, from Alexandria via LeMat-Bulk.

Cell lengths 7.7125, 7.7125, 7.7125 Å; angles 90.00, 90.00, 90.00 degrees
Closest atoms and distances in Å follow each position.
Fractional positions:
Y (0.2500, 0.2500, 0.2500)  4 Sn 3.34, 4 Th 3.34
Y (0.2500, 0.2500, 0.7500)  4 Sn 3.34, 4 Th 3.34
Y (0.2500, 0.7500, 0.2500)  4 Sn 3.34, 4 Th 3.34
Y (0.2500, 0.7500, 0.7500)  4 Sn 3.34, 4 Th 3.34
Y (0.7500, 0.2500, 0.2500)  4 Sn 3.34, 4 Th 3.34
Y (0.7500, 0.2500, 0.7500)  4 Sn 3.34, 4 Th 3.34
Y (0.7500, 0.7500, 0.2500)  4 Sn 3.34, 4 Th 3.34
Y (0.7500, 0.7500, 0.7500)  4 Sn 3.34, 4 Th 3.34
Th (0.0000, 0.0000, 0.0000)  8 Y 3.34
Th (0.0000, 0.5000, 0.5000)  8 Y 3.34
Th (0.5000, 0.0000, 0.5000)  8 Y 3.34
Th (0.5000, 0.5000, 0.0000)  8 Y 3.34
Sn (0.0000, 0.0000, 0.5000)  8 Y 3.34
Sn (0.0000, 0.5000, 0.0000)  8 Y 3.34
Sn (0.5000, 0.0000, 0.0000)  8 Y 3.34
Sn (0.5000, 0.5000, 0.5000)  8 Y 3.34

Properties
space group = Fm-3m

---

Entry ii
The following is a GGA-PBE calculation of a relaxed structure of Y2ThSn, from Alexandria via LeMat-Bulk.

Cell lengths 3.8581, 3.8581, 7.8649 Å; angles 90.00, 90.00, 90.00 degrees
Closest atoms and distances in Å follow each position.
Fractional positions:
Y (0.0000, 0.0000, 0.2222)  4 Sn 3.24, 4 Th 3.50, 1 Y 3.50
Y (0.0000, 0.0000, 0.7778)  4 Sn 3.24, 4 Th 3.50, 1 Y 3.50
Th (0.5000, 0.5000, 0.5000)  8 Y 3.50, 4 Th 3.86
Sn (0.5000, 0.5000, 0.0000)  8 Y 3.24

Properties
space group = P4/mmm

---

Stability comparison, relative energies in meV/atom: entry i 149; entry ii 0

---

Entry i
The following is a GGA-PBE calculation of a relaxed structure of Th2ZrSn, from Alexandria via LeMat-Bulk.

Cell lengths 3.3864, 3.3864, 36.2395 Å; angles 90.00, 90.00, 120.00 degrees
Closest atoms and distances in Å follow each position.
Fractional positions:
Th (0.0000, 0.0000, 0.0902)  1 Sn 3.27, 6 Th 3.39, 3 Zr 3.39
Th (0.0000, 0.0000, 0.9098)  1 Sn 3.27, 6 Th 3.39, 3 Zr 3.39
Th (0.3333, 0.6667, 0.5765)  1 Sn 3.27, 6 Th 3.39, 3 Zr 3.39
Th (0.3333, 0.6667, 0.7568)  1 Sn 3.27, 6 Th 3.39, 3 Zr 3.39
Th (0.6667, 0.3333, 0.2432)  1 Sn 3.27, 6 Th 3.39, 3 Zr 3.39
Th (0.6667, 0.3333, 0.4235)  1 Sn 3.27, 6 Th 3.39, 3 Zr 3.39
Zr (0.0000, 0.0000, 0.5000)  6 Zr 3.39, 6 Th 3.39
Zr (0.3333, 0.6667, 0.1667)  6 Zr 3.39, 6 Th 3.39
Zr (0.6667, 0.3333, 0.8333)  6 Zr 3.39, 6 Th 3.39
Sn (0.0000, 0.0000, 0.0000)  2 Th 3.27, 6 Sn 3.39
Sn (0.3333, 0.6667, 0.6667)  2 Th 3.27, 6 Sn 3.39
Sn (0.6667, 0.3333, 0.3333)  2 Th 3.27, 6 Sn 3.39

Properties
space group = R-3m

---

Entry ii
The following is a GGA-PBE calculation of a relaxed structure of Th2ZrSn, from Alexandria via LeMat-Bulk.

Cell lengths 4.1294, 4.1294, 6.7651 Å; angles 90.00, 90.00, 90.00 degrees
Closest atoms and distances in Å follow each position.
Fractional positions:
Th (0.0000, 0.0000, 0.2375)  2 Th 3.21-3.55, 4 Sn 3.33, 4 Zr 3.42
Th (0.0000, 0.0000, 0.7625)  2 Th 3.21-3.55, 4 Sn 3.33, 4 Zr 3.42
Zr (0.5000, 0.5000, 0.5000)  2 Sn 3.38, 8 Th 3.42
Sn (0.5000, 0.5000, 0.0000)  8 Th 3.33, 2 Zr 3.38

Properties
space group = P4/mmm

---

Entry iii
The following is a GGA-PBE calculation of a relaxed structure of Th2ZrSn, from Alexandria via LeMat-Bulk.

Cell lengths 4.7211, 4.7211, 4.9034 Å; angles 90.00, 90.00, 90.00 degrees
Closest atoms and distances in Å follow each position.
Fractional positions:
Th (0.0000, 0.5000, 0.0000)  4 Th 3.34, 4 Zr 3.40, 4 Sn 3.40
Th (0.5000, 0.0000, 0.0000)  4 Th 3.34, 4 Zr 3.40, 4 Sn 3.40
Zr (0.0000, 0.0000, 0.5000)  4 Sn 3.34, 8 Th 3.40
Sn (0.5000, 0.5000, 0.5000)  4 Zr 3.34, 8 Th 3.40

Properties
space group = P4/mmm

---

Stability comparison, relative energies in meV/atom: entry i 485; entry ii 124; entry iii 0

---

Entry i
The following is a GGA-PBE calculation of a relaxed structure of Ti2TlSn, from Alexandria via LeMat-Bulk.

Cell lengths 6.8350, 6.8350, 6.8350 Å; angles 90.00, 90.00, 90.00 degrees
Closest atoms and distances in Å follow each position.
Fractional positions:
Ti (0.2500, 0.2500, 0.2500)  4 Tl 2.96, 4 Sn 2.96
Ti (0.2500, 0.2500, 0.7500)  4 Tl 2.96, 4 Sn 2.96
Ti (0.2500, 0.7500, 0.2500)  4 Sn 2.96, 4 Tl 2.96
Ti (0.2500, 0.7500, 0.7500)  4 Tl 2.96, 4 Sn 2.96
Ti (0.7500, 0.2500, 0.2500)  4 Sn 2.96, 4 Tl 2.96
Ti (0.7500, 0.2500, 0.7500)  4 Tl 2.96, 4 Sn 2.96
Ti (0.7500, 0.7500, 0.2500)  4 Tl 2.96, 4 Sn 2.96
Ti (0.7500, 0.7500, 0.7500)  4 Sn 2.96, 4 Tl 2.96
Tl (0.0000, 0.0000, 0.0000)  8 Ti 2.96
Tl (0.0000, 0.5000, 0.5000)  8 Ti 2.96
Tl (0.5000, 0.0000, 0.5000)  8 Ti 2.96
Tl (0.5000, 0.5000, 0.0000)  8 Ti 2.96
Sn (0.0000, 0.0000, 0.5000)  8 Ti 2.96
Sn (0.0000, 0.5000, 0.0000)  8 Ti 2.96
Sn (0.5000, 0.0000, 0.0000)  8 Ti 2.96
Sn (0.5000, 0.5000, 0.5000)  8 Ti 2.96

Properties
space group = Fm-3m

---

Entry ii
The following is a GGA-PBE calculation of a relaxed structure of Ti2TlSn, from Alexandria via LeMat-Bulk.

Cell lengths 7.6062, 7.6062, 5.9988 Å; angles 90.00, 90.00, 90.00 degrees
Closest atoms and distances in Å follow each position.
Fractional positions:
Ti (0.2468, 0.2500, 0.1250)  2 Sn 2.78, 2 Tl 2.81, 2 Ti 3.00
Ti (0.2500, 0.7468, 0.3750)  2 Sn 2.78, 2 Tl 2.81, 2 Ti 3.00
Ti (0.2500, 0.7532, 0.8750)  2 Sn 2.78, 2 Tl 2.81, 2 Ti 3.00
Ti (0.2532, 0.2500, 0.6250)  2 Sn 2.78, 2 Tl 2.81, 2 Ti 3.00
Ti (0.7468, 0.7500, 0.6250)  2 Sn 2.78, 2 Tl 2.81, 2 Ti 3.00
Ti (0.7500, 0.2468, 0.8750)  2 Sn 2.78, 2 Tl 2.81, 2 Ti 3.00
Ti (0.7500, 0.2532, 0.3750)  2 Sn 2.78, 2 Tl 2.81, 2 Ti 3.00
Ti (0.7532, 0.7500, 0.1250)  2 Sn 2.78, 2 Tl 2.81, 2 Ti 3.00
Tl (0.0000, 0.0000, 0.5000)  4 Ti 2.81, 2 Sn 3.00
Tl (0.0000, 0.5000, 0.7500)  4 Ti 2.81, 2 Sn 3.00
Tl (0.5000, 0.0000, 0.2500)  4 Ti 2.81, 2 Sn 3.00
Tl (0.5000, 0.5000, 0.0000)  4 Ti 2.81, 2 Sn 3.00
Sn (0.0000, 0.0000, 0.0000)  4 Ti 2.78, 2 Tl 3.00
Sn (0.0000, 0.5000, 0.2500)  4 Ti 2.78, 2 Tl 3.00
Sn (0.5000, 0.0000, 0.7500)  4 Ti 2.78, 2 Tl 3.00
Sn (0.5000, 0.5000, 0.5000)  4 Ti 2.78, 2 Tl 3.00

Properties
space group = I-42d

---

Stability comparison, relative energies in meV/atom: entry i 0; entry ii 116

---

Entry i
The following is a GGA-PBE calculation of a relaxed structure of TiTl2Sn, from Alexandria via LeMat-Bulk.

Cell lengths 7.4415, 7.4415, 7.4415 Å; angles 90.00, 90.00, 90.00 degrees
Closest atoms and distances in Å follow each position.
Fractional positions:
Ti (0.0000, 0.0000, 0.0000)  8 Tl 3.22
Ti (0.0000, 0.5000, 0.5000)  8 Tl 3.22
Ti (0.5000, 0.0000, 0.5000)  8 Tl 3.22
Ti (0.5000, 0.5000, 0.0000)  8 Tl 3.22
Tl (0.2500, 0.2500, 0.2500)  4 Sn 3.22, 4 Ti 3.22
Tl (0.2500, 0.2500, 0.7500)  4 Sn 3.22, 4 Ti 3.22
Tl (0.2500, 0.7500, 0.2500)  4 Sn 3.22, 4 Ti 3.22
Tl (0.2500, 0.7500, 0.7500)  4 Sn 3.22, 4 Ti 3.22
Tl (0.7500, 0.2500, 0.2500)  4 Sn 3.22, 4 Ti 3.22
Tl (0.7500, 0.2500, 0.7500)  4 Sn 3.22, 4 Ti 3.22
Tl (0.7500, 0.7500, 0.2500)  4 Sn 3.22, 4 Ti 3.22
Tl (0.7500, 0.7500, 0.7500)  4 Sn 3.22, 4 Ti 3.22
Sn (0.0000, 0.0000, 0.5000)  8 Tl 3.22
Sn (0.0000, 0.5000, 0.0000)  8 Tl 3.22
Sn (0.5000, 0.0000, 0.0000)  8 Tl 3.22
Sn (0.5000, 0.5000, 0.5000)  8 Tl 3.22

Properties
space group = Fm-3m

---

Entry ii
The following is a GGA-PBE calculation of a relaxed structure of TiTl2Sn, from Alexandria via LeMat-Bulk.

Cell lengths 8.3325, 8.3325, 5.9489 Å; angles 90.00, 90.00, 90.00 degrees
Closest atoms and distances in Å follow each position.
Fractional positions:
Ti (0.0000, 0.0000, 0.0000)  4 Tl 2.90, 2 Sn 2.97
Ti (0.0000, 0.5000, 0.2500)  4 Tl 2.90, 2 Sn 2.97
Ti (0.5000, 0.0000, 0.7500)  4 Tl 2.90, 2 Sn 2.97
Ti (0.5000, 0.5000, 0.5000)  4 Tl 2.90, 2 Sn 2.97
Tl (0.2250, 0.2500, 0.1250)  2 Ti 2.90, 2 Tl 3.00, 2 Sn 3.18
Tl (0.2500, 0.7250, 0.3750)  2 Ti 2.90, 2 Tl 3.00, 2 Sn 3.18
Tl (0.2500, 0.7750, 0.8750)  2 Ti 2.90, 2 Tl 3.00, 2 Sn 3.18
Tl (0.2750, 0.2500, 0.6250)  2 Ti 2.90, 2 Tl 3.00, 2 Sn 3.18
Tl (0.7250, 0.7500, 0.6250)  2 Ti 2.90, 2 Tl 3.00, 2 Sn 3.18
Tl (0.7500, 0.2250, 0.8750)  2 Ti 2.90, 2 Tl 3.00, 2 Sn 3.18
Tl (0.7500, 0.2750, 0.3750)  2 Ti 2.90, 2 Tl 3.00, 2 Sn 3.18
Tl (0.7750, 0.7500, 0.1250)  2 Ti 2.90, 2 Tl 3.00, 2 Sn 3.18
Sn (0.0000, 0.0000, 0.5000)  2 Ti 2.97, 4 Tl 3.18
Sn (0.0000, 0.5000, 0.7500)  2 Ti 2.97, 4 Tl 3.18
Sn (0.5000, 0.0000, 0.2500)  2 Ti 2.97, 4 Tl 3.18
Sn (0.5000, 0.5000, 0.0000)  2 Ti 2.97, 4 Tl 3.18

Properties
space group = I-42d

---

Stability comparison, relative energies in meV/atom: entry i 40; entry ii 0